Record 1
Compound: Ca2SbMo
Source: Alexandria
Functional: PBE
Structure: relaxed

Properties
* ΔE_f (raw): 230 meV per atom
* DOS(E_F): 0.9581 states/eV/atom
* E_tot: -4.509 eV per atom

a b c (Å): 4.5051 4.5051 9.4997
angles (deg): 90.00 90.00 90.00
Closest atoms and distances in Å follow each position.
Space group I4/mmm (No. 139)
Unique sites:
Ca 0.0000 0.5000 0.2500 [4 per cell]  4 Ca 3.19, 4 Mo 3.27, 4 Sb 3.27
Sb 0.0000 0.0000 0.0000 [2 per cell]  4 Mo 3.19, 8 Ca 3.27
Mo 0.0000 0.0000 0.5000 [2 per cell]  4 Sb 3.19, 8 Ca 3.27

Record 2
Compound: CaSbMo2
Source: Alexandria
Functional: PBE
Structure: relaxed

Properties
* ΔE_f (raw): 394 meV per atom
* DOS(E_F): 0.6190 states/eV/atom
* E_tot: -6.553 eV per atom

a b c (Å): 3.5993 3.5993 6.6150
angles (deg): 90.00 90.00 90.00
Closest atoms and distances in Å follow each position.
Space group P4/mmm (No. 123)
Unique sites:
Ca 0.0000 0.0000 0.0000 [1 per cell]  8 Mo 3.29, 2 Sb 3.31, 4 Ca 3.60
Sb 0.0000 0.0000 0.5000 [1 per cell]  8 Mo 2.82
Mo 0.5000 0.5000 0.3152 [2 per cell]  1 Mo 2.44

Record 3
Compound: Ca2SbMo
Source: Alexandria
Functional: PBE
Structure: relaxed

Properties
* ΔE_f (raw): 338 meV per atom
* DOS(E_F): 0.7180 states/eV/atom
* E_tot: -4.401 eV per atom

a b c (Å): 3.3736 3.3736 30.4644
angles (deg): 90.00 90.00 120.00
Closest atoms and distances in Å follow each position.
Space group R-3m (No. 166, hexagonal axes)
Unique sites:
Ca 0.0000 0.0000 0.2461 [6 per cell]  3 Mo 3.11, 3 Sb 3.29, 6 Ca 3.37
Sb 0.0000 0.0000 0.0000 [3 per cell]  6 Ca 3.29, 6 Sb 3.37
Mo 0.0000 0.0000 0.5000 [3 per cell]  6 Ca 3.11, 6 Mo 3.37

Record 4
Compound: CaSbMo3
Source: Alexandria
Functional: PBE
Structure: relaxed

Properties
* energy relative to the lowest polymorph listed for this composition: 0.908 eV/atom
* ΔE_f (raw): 2462 meV per atom
* DOS(E_F): 1.1350 states/eV/atom
* E_tot: -5.261 eV per atom

a b c (Å): 4.7031 4.7031 4.7031
angles (deg): 90.00 90.00 90.00
Closest atoms and distances in Å follow each position.
Space group Pm-3m (No. 221)
Unique sites:
Ca 0.0000 0.0000 0.0000 [1 per cell]  6 Mo 2.35
Sb 0.5000 0.5000 0.5000 [1 per cell]  12 Mo 3.33
Mo 0.0000 0.0000 0.5000 [3 per cell]  2 Ca 2.35

Record 5
Compound: Ca2SbMo
Source: Alexandria
Functional: PBE
Structure: relaxed

Properties
* ΔE_f (raw): 5 meV per atom
* DOS(E_F): 0.7519 states/eV/atom
* E_tot: -4.734 eV per atom

a b c (Å): 3.6080 3.6080 8.4355
angles (deg): 90.00 90.00 90.00
Closest atoms and distances in Å follow each position.
Space group P4mm (No. 99)
Unique sites:
Ca 0.0000 0.0000 0.0000 [1 per cell]  1 Mo 3.20, 4 Sb 3.28
Ca 0.5000 0.5000 0.3784 [1 per cell]  1 Sb 3.18, 4 Mo 3.27
Sb 0.5000 0.5000 0.7548 [1 per cell]  4 Mo 2.79
Mo 0.0000 0.0000 0.6211 [1 per cell]  4 Sb 2.79

Record 6
Compound: CaSbMo2
Source: Alexandria
Functional: PBE
Structure: relaxed

Properties
* ΔE_f (raw): 457 meV per atom
* DOS(E_F): 0.7778 states/eV/atom
* E_tot: -6.490 eV per atom

a b c (Å): 3.0032 5.1586 5.2874
angles (deg): 90.00 91.44 90.00
Closest atoms and distances in Å follow each position.
Space group P2/m (No. 10)
Unique sites:
Ca 0.0000 0.0000 0.0000 [1 per cell]  2 Ca 3.00, 4 Sb 3.01-3.07, 8 Mo 3.11-3.35
Sb 0.5000 0.0000 0.5000 [1 per cell]  4 Mo 2.97, 2 Sb 3.00, 4 Ca 3.01-3.07
Mo 0.4028 0.5000 0.7708 [2 per cell]  1 Mo 2.48